No. 1
VASP calculation (PBE) on an optimized crystal structure of MgAl2Mo2.

a = 6.996 Å, b = 6.996 Å, c = 3.308 Å
α = 90.00°, β = 90.00°, γ = 90.00°
Sites, in units of the cell vectors:
1 Mg 0.000 0.000 0.000
2 Mg 0.500 0.500 0.000
3 Al 0.128 0.372 0.000
4 Al 0.372 0.872 0.000
5 Al 0.628 0.128 0.000
6 Al 0.872 0.628 0.000
7 Mo 0.169 0.669 0.500
8 Mo 0.331 0.169 0.500
9 Mo 0.669 0.831 0.500
10 Mo 0.831 0.331 0.500

Calculated values
Spin magnetization (μB per formula unit): 0.0
Space-group type: P4/mbm
Calculated volume (Å³/f.u.): 81
E above lowest polymorph (meV/atom): 0.0



No. 2
VASP calculation (PBE) on an optimized crystal structure of LiGeAu2.

a = 9.317 Å, b = 9.317 Å, c = 9.317 Å
α = 154.56°, β = 154.56°, γ = 36.28°
Sites, in units of the cell vectors:
1 Li 0.000 0.000 0.000
2 Li 0.750 0.250 0.500
3 Ge 0.250 0.750 0.500
4 Ge 0.500 0.500 0.000
5 Au 0.122 0.625 0.997
6 Au 0.375 0.372 0.497
7 Au 0.628 0.125 0.003
8 Au 0.875 0.878 0.503

Calculated values
Spin magnetization (μB per formula unit): 0.0
Space-group type: I-42d
Total DFT energy (no corrections) (eV per atom): -3.372
Calculated volume (Å³/f.u.): 75



No. 3
VASP calculation (PBE) on an optimized crystal structure of Sm16Ho6Tm7.

a = 11.177 Å, b = 11.177 Å, c = 11.177 Å
α = 60.00°, β = 60.00°, γ = 60.00°
Sites, in units of the cell vectors:
1 Sm 0.051 0.650 0.650
2 Sm 0.124 0.124 0.124
3 Sm 0.124 0.124 0.627
4 Sm 0.124 0.627 0.124
5 Sm 0.350 0.350 0.350
6 Sm 0.350 0.350 0.949
7 Sm 0.350 0.949 0.350
8 Sm 0.373 0.876 0.876
9 Sm 0.627 0.124 0.124
10 Sm 0.650 0.051 0.650
11 Sm 0.650 0.650 0.051
12 Sm 0.650 0.650 0.650
13 Sm 0.876 0.373 0.876
14 Sm 0.876 0.876 0.373
15 Sm 0.876 0.876 0.876
16 Sm 0.949 0.350 0.350
17 Ho 0.269 0.269 0.731
18 Ho 0.269 0.731 0.269
19 Ho 0.269 0.731 0.731
20 Ho 0.731 0.269 0.269
21 Ho 0.731 0.269 0.731
22 Ho 0.731 0.731 0.269
23 Tm 0.000 0.000 0.000
24 Tm 0.000 0.000 0.500
25 Tm 0.000 0.500 0.000
26 Tm 0.000 0.500 0.500
27 Tm 0.500 0.000 0.000
28 Tm 0.500 0.000 0.500
29 Tm 0.500 0.500 0.000

Calculated values
Spin magnetization (μB per formula unit): 0.0
Space-group type: Fm-3m
Total DFT energy (no corrections) (eV per atom): -4.417
Calculated volume (Å³/f.u.): 987



No. 4
VASP calculation (PBE) on an optimized crystal structure of CoPd2S4.

a = 6.964 Å, b = 6.964 Å, c = 6.964 Å
α = 121.26°, β = 118.75°, γ = 90.00°
Sites, in units of the cell vectors:
1 Co 0.500 0.000 0.000
2 Co 0.500 0.500 0.500
3 Pd 0.000 0.000 0.000
4 Pd 0.120 0.370 0.750
5 Pd 0.500 0.000 0.500
6 Pd 0.880 0.630 0.250
7 S 0.271 0.256 0.485
8 S 0.271 0.786 0.015
9 S 0.282 0.245 0.037
10 S 0.292 0.755 0.537
11 S 0.708 0.245 0.463
12 S 0.718 0.755 0.963
13 S 0.729 0.214 0.985
14 S 0.729 0.744 0.515

Calculated values
Spin magnetization (μB per formula unit): 0.0
Space-group type: Imma
Calculated volume (Å³/f.u.): 119
E above lowest polymorph (meV/atom): 0.0



No. 5
VASP calculation (PBE) on an optimized crystal structure of TaReRh.

a = 13.776 Å, b = 2.824 Å, c = 2.824 Å
α = 59.36°, β = 90.00°, γ = 90.00°
Sites, in units of the cell vectors:
1 Ta 0.176 0.000 0.000
2 Ta 0.824 0.000 0.000
3 Re 0.000 0.727 0.727
4 Re 0.500 0.999 0.999
5 Rh 0.343 0.665 0.665
6 Rh 0.657 0.665 0.665

Calculated values
Spin magnetization (μB per formula unit): 0.0
Space-group type: Amm2
Calculated volume (Å³/f.u.): 47
E above lowest polymorph (meV/atom): 171.0



No. 6
VASP calculation (PBE) on an optimized crystal structure of CaLa6Sm12.

a = 8.993 Å, b = 8.993 Å, c = 8.993 Å
α = 99.04°, β = 99.04°, γ = 99.04°
Sites, in units of the cell vectors:
1 Ca 0.000 0.000 0.000
2 La 0.096 0.096 0.653
3 La 0.096 0.653 0.096
4 La 0.347 0.904 0.904
5 La 0.653 0.096 0.096
6 La 0.904 0.347 0.904
7 La 0.904 0.904 0.347
8 Sm 0.082 0.358 0.358
9 Sm 0.242 0.500 0.758
10 Sm 0.242 0.758 0.500
11 Sm 0.358 0.082 0.358
12 Sm 0.358 0.358 0.082
13 Sm 0.500 0.242 0.758
14 Sm 0.500 0.758 0.242
15 Sm 0.642 0.642 0.918
16 Sm 0.642 0.918 0.642
17 Sm 0.758 0.242 0.500
18 Sm 0.758 0.500 0.242
19 Sm 0.918 0.642 0.642

Calculated values
Spin magnetization (μB per formula unit): 0.0
Space-group type: R-3m
Total DFT energy (no corrections) (eV per atom): -4.453
Calculated volume (Å³/f.u.): 697



No. 7
VASP calculation (PBE) on an optimized crystal structure of PmInAg.

a = 4.887 Å, b = 4.887 Å, c = 4.887 Å
α = 60.00°, β = 60.00°, γ = 60.00°
Sites, in units of the cell vectors:
1 Pm 0.000 0.000 0.000
2 In 0.500 0.500 0.500
3 Ag 0.750 0.750 0.750

Calculated values
Spin magnetization (μB per formula unit): 0.0
Space-group type: F-43m
Calculated volume (Å³/f.u.): 83
E above lowest polymorph (meV/atom): 113.5



No. 8
VASP calculation (PBE) on an optimized crystal structure of Y4P.

a = 5.782 Å, b = 5.782 Å, c = 5.782 Å
α = 109.47°, β = 109.47°, γ = 109.47°
Sites, in units of the cell vectors:
1 Y 0.000 0.000 0.500
2 Y 0.000 0.500 0.000
3 Y 0.500 0.000 0.000
4 Y 0.500 0.500 0.500
5 P 0.000 0.000 0.000

Calculated values
Spin magnetization (μB per formula unit): 2.1
Space-group type: Im-3m
Calculated volume (Å³/f.u.): 149
E above lowest polymorph (meV/atom): 289.8



No. 9
VASP calculation (PBE) on an optimized crystal structure of ZrHgAsRh2.

a = 4.924 Å, b = 4.924 Å, c = 4.806 Å
α = 90.00°, β = 90.00°, γ = 90.00°
Sites, in units of the cell vectors:
1 Zr 0.000 0.000 0.000
2 Hg 0.500 0.500 0.500
3 As 0.500 0.500 0.000
4 Rh 0.000 0.500 0.500
5 Rh 0.500 0.000 0.500

Calculated values
Spin magnetization (μB per formula unit): 0.0
Space-group type: P4/mmm
Total DFT energy (no corrections) (eV per atom): -4.516
Calculated volume (Å³/f.u.): 117



No. 10
VASP calculation (PBE) on an optimized crystal structure of LaZn3Pb.

a = 5.591 Å, b = 5.591 Å, c = 5.591 Å
α = 90.00°, β = 90.00°, γ = 90.00°
Sites, in units of the cell vectors:
1 La 0.000 0.000 0.000
2 Zn 0.000 0.000 0.500
3 Zn 0.000 0.500 0.000
4 Zn 0.500 0.000 0.000
5 Pb 0.500 0.500 0.500

Calculated values
Spin magnetization (μB per formula unit): 0.6
Space-group type: Pm-3m
Calculated volume (Å³/f.u.): 175
E above lowest polymorph (meV/atom): 443.6



No. 11
VASP calculation (PBE) on an optimized crystal structure of Li2AcMg2In2.

a = 9.253 Å, b = 9.253 Å, c = 9.253 Å
α = 30.24°, β = 30.24°, γ = 30.24°
Sites, in units of the cell vectors:
1 Li 0.064 0.064 0.064
2 Li 0.936 0.936 0.936
3 Ac 0.500 0.500 0.500
4 Mg 0.363 0.363 0.363
5 Mg 0.637 0.637 0.637
6 In 0.248 0.248 0.248
7 In 0.752 0.752 0.752

Calculated values
Spin magnetization (μB per formula unit): 0.0
Space-group type: R-3m
Total DFT energy (no corrections) (eV per atom): -2.643
Calculated volume (Å³/f.u.): 178



No. 12
VASP calculation (PBE) on an optimized crystal structure of Li3YAg2.

a = 7.515 Å, b = 7.515 Å, c = 9.245 Å
α = 121.69°, β = 121.69°, γ = 32.27°
Sites, in units of the cell vectors:
1 Li 0.065 0.065 0.407
2 Li 0.267 0.267 0.422
3 Li 0.426 0.426 0.315
4 Li 0.574 0.574 0.685
5 Li 0.733 0.733 0.578
6 Li 0.935 0.935 0.593
7 Y 0.128 0.128 0.003
8 Y 0.872 0.872 0.997
9 Ag 0.204 0.204 0.749
10 Ag 0.424 0.424 0.796
11 Ag 0.576 0.576 0.204
12 Ag 0.796 0.796 0.251

Calculated values
Spin magnetization (μB per formula unit): 0.0
Space-group type: C2/m
Total DFT energy (no corrections) (eV per atom): -3.157
Calculated volume (Å³/f.u.): 117



No. 13
VASP calculation (PBE) on an optimized crystal structure of LaIn2Au.

a = 3.581 Å, b = 3.599 Å, c = 7.762 Å
α = 90.00°, β = 90.00°, γ = 90.00°
Sites, in units of the cell vectors:
1 La 0.000 0.000 0.000
2 In 0.500 0.500 0.294
3 In 0.500 0.500 0.706
4 Au 0.000 0.000 0.500

Calculated values
Spin magnetization (μB per formula unit): 0.0
Space-group type: Pmmm
Total DFT energy (no corrections) (eV per atom): -3.796
Calculated volume (Å³/f.u.): 100



No. 14
VASP calculation (PBE) on an optimized crystal structure of Zn3CrN4.

a = 6.392 Å, b = 5.549 Å, c = 5.280 Å
α = 90.00°, β = 90.00°, γ = 90.00°
Sites, in units of the cell vectors:
1 Zn 0.000 0.159 0.000
2 Zn 0.248 0.330 0.497
3 Zn 0.252 0.670 0.997
4 Zn 0.500 0.841 0.500
5 Zn 0.748 0.670 0.997
6 Zn 0.752 0.330 0.497
7 Cr 0.000 0.827 0.502
8 Cr 0.500 0.173 0.002
9 N 0.000 0.126 0.614
10 N 0.000 0.825 0.172
11 N 0.228 0.678 0.613
12 N 0.272 0.322 0.113
13 N 0.500 0.175 0.672
14 N 0.500 0.874 0.114
15 N 0.728 0.322 0.113
16 N 0.772 0.678 0.613

Calculated values
Spin magnetization (μB per formula unit): 0.0
Space-group type: Pmn2_1
Total DFT energy (no corrections) (eV per atom): -5.982
Calculated volume (Å³/f.u.): 94



No. 15
VASP calculation (PBE) on an optimized crystal structure of PtSeN2F.

a = 3.890 Å, b = 3.890 Å, c = 4.461 Å
α = 90.00°, β = 90.00°, γ = 90.00°
Sites, in units of the cell vectors:
1 Pt 0.000 0.000 0.000
2 Se 0.500 0.500 0.000
3 N 0.000 0.500 0.500
4 N 0.500 0.000 0.500
5 F 0.500 0.500 0.500

Calculated values
Spin magnetization (μB per formula unit): 3.0
Space-group type: P4/mmm
Calculated volume (Å³/f.u.): 67
E above lowest polymorph (meV/atom): 1142.1



No. 16
VASP calculation (PBE) on an optimized crystal structure of In2CCl2.

a = 6.520 Å, b = 6.520 Å, c = 5.553 Å
α = 90.00°, β = 90.00°, γ = 90.00°
Sites, in units of the cell vectors:
1 In 0.186 0.314 0.000
2 In 0.314 0.814 0.000
3 In 0.686 0.186 0.000
4 In 0.814 0.686 0.000
5 C 0.000 0.000 0.500
6 C 0.500 0.500 0.500
7 Cl 0.207 0.707 0.500
8 Cl 0.293 0.207 0.500
9 Cl 0.707 0.793 0.500
10 Cl 0.793 0.293 0.500

Calculated values
Spin magnetization (μB per formula unit): 0.4
Space-group type: P4/mbm
Total DFT energy (no corrections) (eV per atom): -2.873
Calculated volume (Å³/f.u.): 118



No. 17
VASP calculation (PBE) on an optimized crystal structure of PuNpS2.

a = 4.929 Å, b = 4.929 Å, c = 3.312 Å
α = 90.00°, β = 90.00°, γ = 90.00°
Sites, in units of the cell vectors:
1 Pu 0.000 0.000 0.000
2 Np 0.500 0.500 0.000
3 S 0.000 0.500 0.500
4 S 0.500 0.000 0.500

Calculated values
Spin magnetization (μB per formula unit): 1.3
Space-group type: P4/mmm
Calculated volume (Å³/f.u.): 80
E above lowest polymorph (meV/atom): 438.4



No. 18
VASP calculation (PBE) on an optimized crystal structure of Mo.

a = 2.831 Å, b = 2.831 Å, c = 2.831 Å
α = 60.00°, β = 60.00°, γ = 60.00°
Sites, in units of the cell vectors:
1 Mo 0.000 0.000 0.000

Calculated values
Spin magnetization (μB per formula unit): 0.0
Space-group type: Fm-3m
Calculated volume (Å³/f.u.): 16
E above lowest polymorph (meV/atom): 396.5



No. 19
VASP calculation (PBE) on an optimized crystal structure of LaSbF6.

a = 5.755 Å, b = 5.755 Å, c = 3.907 Å
α = 90.23°, β = 90.23°, γ = 76.75°
Sites, in units of the cell vectors:
1 La 0.000 0.000 0.000
2 Sb 0.526 0.526 0.615
3 F 0.231 0.590 0.953
4 F 0.305 0.917 0.519
5 F 0.590 0.231 0.953
6 F 0.674 0.674 0.987
7 F 0.859 0.859 0.489
8 F 0.917 0.305 0.519

Calculated values
Spin magnetization (μB per formula unit): 0.0
Space-group type: Cm
Total DFT energy (no corrections) (eV per atom): -5.711
Calculated volume (Å³/f.u.): 126



No. 20
VASP calculation (PBE) on an optimized crystal structure of CsSmRu2O8.

a = 6.049 Å, b = 6.049 Å, c = 8.588 Å
α = 90.00°, β = 90.00°, γ = 120.00°
Sites, in units of the cell vectors:
1 Cs 0.000 0.000 0.000
2 Sm 0.000 0.000 0.500
3 Ru 0.333 0.667 0.740
4 Ru 0.667 0.333 0.260
5 O 0.149 0.344 0.668
6 O 0.194 0.851 0.668
7 O 0.333 0.667 0.944
8 O 0.344 0.194 0.332
9 O 0.656 0.806 0.668
10 O 0.667 0.333 0.056
11 O 0.806 0.149 0.332
12 O 0.851 0.656 0.332

Calculated values
Spin magnetization (μB per formula unit): 4.0
Space-group type: P-3
Total DFT energy (no corrections) (eV per atom): -6.803
Calculated volume (Å³/f.u.): 272